VASP calculation (PBE-GGA) on crystalline Mg2CdO at its relaxed geometry.

CIF file:
```
data_Mg2CdO
_space_group_name_H-M_alt 'P 1'
_space_group_IT_number 1
_cell_length_a 4.640
_cell_length_b 4.640
_cell_length_c 4.640
_cell_angle_alpha 60.00
_cell_angle_beta 60.00
_cell_angle_gamma 60.00
loop_
_space_group_symop_operation_xyz
'x,y,z'
loop_
_atom_site_label
_atom_site_type_symbol
_atom_site_fract_x
_atom_site_fract_y
_atom_site_fract_z
Mg1 Mg 0.250 0.250 0.250
Mg2 Mg 0.750 0.750 0.750
O1 O 0.000 0.000 0.000
Cd1 Cd 0.500 0.500 0.500
```

**Energy relative to the lowest polymorph listed for this composition**: 3.97 eV per formula unit
**Space group**: Fm-3m (225)
**Uncorrected formation energy**: -0.16 eV per atom
**Calculated density**: 4.162 g cm⁻³


VASP calculation (PBE-GGA) on crystalline Mg3CdO4 at its relaxed geometry.

CIF file:
```
data_Mg3CdO4
_space_group_name_H-M_alt 'P 1'
_space_group_IT_number 1
_cell_length_a 4.447
_cell_length_b 4.447
_cell_length_c 4.447
_cell_angle_alpha 90.00
_cell_angle_beta 90.00
_cell_angle_gamma 90.00
loop_
_space_group_symop_operation_xyz
'x,y,z'
loop_
_atom_site_label
_atom_site_type_symbol
_atom_site_fract_x
_atom_site_fract_y
_atom_site_fract_z
Mg1 Mg 0.000 0.500 0.500
Mg2 Mg 0.500 0.000 0.500
Mg3 Mg 0.500 0.500 0.000
Cd1 Cd 0.000 0.000 0.000
O1 O 0.500 0.000 0.000
O2 O 0.500 0.500 0.500
O3 O 0.000 0.000 0.500
O4 O 0.000 0.500 0.000
```

**Space group**: Pm-3m (221)
**Uncorrected formation energy**: -2.16 eV per atom
**Calculated density**: 4.709 g cm⁻³


VASP calculation (PBE-GGA) on crystalline MgCd3O4 at its relaxed geometry.

CIF file:
```
data_MgCd3O4
_space_group_name_H-M_alt 'P 1'
_space_group_IT_number 1
_cell_length_a 5.013
_cell_length_b 5.013
_cell_length_c 5.013
_cell_angle_alpha 90.00
_cell_angle_beta 90.00
_cell_angle_gamma 90.00
loop_
_space_group_symop_operation_xyz
'x,y,z'
loop_
_atom_site_label
_atom_site_type_symbol
_atom_site_fract_x
_atom_site_fract_y
_atom_site_fract_z
Mg1 Mg 0.000 0.000 0.000
Cd1 Cd 0.000 0.500 0.500
Cd2 Cd 0.500 0.500 0.000
Cd3 Cd 0.500 0.000 0.500
O1 O 0.231 0.769 0.769
O2 O 0.769 0.769 0.231
O3 O 0.769 0.231 0.769
O4 O 0.231 0.231 0.231
```

**Space group**: P-43m (215)
**Uncorrected formation energy**: -1.40 eV per atom
**Calculated density**: 5.609 g cm⁻³


VASP calculation (PBE-GGA) on crystalline MgCd2O3 at its relaxed geometry.

CIF file:
```
data_MgCd2O3
_space_group_name_H-M_alt 'P 1'
_space_group_IT_number 1
_cell_length_a 6.105
_cell_length_b 6.105
_cell_length_c 6.020
_cell_angle_alpha 99.13
_cell_angle_beta 99.13
_cell_angle_gamma 120.48
loop_
_space_group_symop_operation_xyz
'x,y,z'
loop_
_atom_site_label
_atom_site_type_symbol
_atom_site_fract_x
_atom_site_fract_y
_atom_site_fract_z
Mg1 Mg 0.092 0.932 0.508
Mg2 Mg 0.932 0.092 0.008
Cd1 Cd 0.592 0.424 0.006
Cd2 Cd 0.770 0.257 0.506
Cd3 Cd 0.424 0.592 0.506
Cd4 Cd 0.257 0.770 0.006
O1 O 0.053 0.187 0.359
O2 O 0.187 0.053 0.859
O3 O 0.894 0.363 0.896
O4 O 0.363 0.894 0.396
O5 O 0.580 0.750 0.896
O6 O 0.750 0.580 0.396
```

**Energy relative to the lowest polymorph listed for this composition**: 0.11 eV per formula unit
**Space group**: Cc (9)
**Uncorrected formation energy**: -1.53 eV per atom
**Calculated density**: 5.385 g cm⁻³


VASP calculation (PBE-GGA) on crystalline MgCdO3 at its relaxed geometry.

CIF file:
```
data_MgCdO3
_space_group_name_H-M_alt 'P 1'
_space_group_IT_number 1
_cell_length_a 4.041
_cell_length_b 4.041
_cell_length_c 4.041
_cell_angle_alpha 90.00
_cell_angle_beta 90.00
_cell_angle_gamma 90.00
loop_
_space_group_symop_operation_xyz
'x,y,z'
loop_
_atom_site_label
_atom_site_type_symbol
_atom_site_fract_x
_atom_site_fract_y
_atom_site_fract_z
Mg1 Mg 0.500 0.500 0.500
O1 O 0.000 0.500 0.000
O2 O 0.000 0.000 0.500
O3 O 0.500 0.000 0.000
Cd1 Cd 0.000 0.000 0.000
```

**Space group**: Pm-3m (221)
**Uncorrected formation energy**: -0.38 eV per atom
**Calculated density**: 4.648 g cm⁻³


VASP calculation (PBE-GGA) on crystalline Mg2CdO at its relaxed geometry.

CIF file:
```
data_Mg2CdO
_space_group_name_H-M_alt 'P 1'
_space_group_IT_number 1
_cell_length_a 6.086
_cell_length_b 6.086
_cell_length_c 5.929
_cell_angle_alpha 59.12
_cell_angle_beta 59.12
_cell_angle_gamma 90.00
loop_
_space_group_symop_operation_xyz
'x,y,z'
loop_
_atom_site_label
_atom_site_type_symbol
_atom_site_fract_x
_atom_site_fract_y
_atom_site_fract_z
Mg1 Mg 0.496 0.125 0.250
Mg2 Mg 0.254 0.625 0.250
Mg3 Mg 0.375 0.504 0.750
Mg4 Mg 0.875 0.746 0.750
O1 O 0.500 0.500 0.000
O2 O 0.250 0.750 0.500
Cd1 Cd 0.000 0.000 0.000
Cd2 Cd 0.750 0.250 0.500
```

**Energy relative to the lowest polymorph listed for this composition**: 0.00 eV per formula unit
**Space group**: I-42d (122)
**Uncorrected formation energy**: -1.15 eV per atom
**Calculated density**: 3.892 g cm⁻³